The following is a DFT calculation (GGA-PBE) of crystalline Dy3Ni4Ge at its relaxed geometry.

V in Å³ per cell: 142.5
Uncorrected energy in eV per atom: -5.52
Total magnetization in μB per cell: 0.001

The structure in CIF format:
```
data_Dy3Ni4Ge
_symmetry_space_group_name_H-M 'P 1 m 1'
_symmetry_Int_Tables_number 6
_symmetry_space_group_name_Hall 'P -2y'
_cell_length_a 5.205
_cell_length_b 4.135
_cell_length_c 6.641
_cell_angle_alpha 90.00
_cell_angle_beta 94.50
_cell_angle_gamma 90.00
loop_
_atom_site_label
_atom_site_type_symbol
_atom_site_fract_x
_atom_site_fract_y
_atom_site_fract_z
_atom_site_occupancy
Dy1 Dy 0.000 0.000 0.000 1
Dy2 Dy 0.202 0.000 0.492 1
Dy3 Dy 0.703 0.500 0.624 1
Ni1 Ni 0.233 0.500 0.799 1
Ni2 Ni 0.486 0.000 0.907 1
Ni3 Ni 0.656 0.000 0.295 1
Ni4 Ni 0.945 0.500 0.267 1
Ge1 Ge 0.450 0.500 0.154 1
```